Entry 1:
# Ca3LaSb, optimized geometry, DFT PBE
# ΔE to the lowest computed polymorph in meV/atom: 907
# Raw total energy in eV per cell: -11.02
# Formation energy (no corrections) in eV per atom: 0.807
# V in Å³/atom: 37.3
data_Ca3LaSb
_chemical_formula_sum 'Ca3 La1 Sb1'
_cell_length_a 5.715
_cell_length_b 5.715
_cell_length_c 5.715
_cell_angle_alpha 90.00
_cell_angle_beta 90.00
_cell_angle_gamma 90.00
_space_group_name_H-M_alt 'P m -3 m'
_space_group_IT_number 221
_space_group_name_Hall '-P 4 2 3'
loop_
_atom_site_label
_atom_site_fract_x
_atom_site_fract_y
_atom_site_fract_z
Ca1 0.000 0.000 0.500
La1 0.000 0.000 0.000
Sb1 0.500 0.500 0.500



Entry 2:
# RbRuSe3, optimized geometry, DFT PBE
# ΔE to the lowest computed polymorph in meV/atom: 0
# Raw total energy in eV per cell: -21.32
# Formation energy (no corrections) in eV per atom: -0.126
# V in Å³/atom: 26.1
data_RbRuSe3
_chemical_formula_sum 'Rb1 Ru1 Se3'
_cell_length_a 5.070
_cell_length_b 5.070
_cell_length_c 5.070
_cell_angle_alpha 90.00
_cell_angle_beta 90.00
_cell_angle_gamma 90.00
_space_group_name_H-M_alt 'P m -3 m'
_space_group_IT_number 221
_space_group_name_Hall '-P 4 2 3'
loop_
_atom_site_label
_atom_site_fract_x
_atom_site_fract_y
_atom_site_fract_z
Rb1 0.000 0.000 0.000
Ru1 0.500 0.500 0.500
Se1 0.000 0.500 0.500



Entry 3:
# RbPIrAu, optimized geometry, DFT PBE
# Raw total energy in eV per cell: -40.78
# V in Å³/atom: 24.9
# ΔH_f (0 K) in eV per atom: -0.468
data_RbPIrAu
_chemical_formula_sum 'Rb2 P2 Ir2 Au2'
_cell_length_a 3.954
_cell_length_b 3.954
_cell_length_c 12.729
_cell_angle_alpha 90.00
_cell_angle_beta 90.00
_cell_angle_gamma 90.00
_space_group_name_H-M_alt 'P 4/n m m'
_space_group_IT_number 129
loop_
_space_group_symop_operation_xyz
'x,y,z'
'-x,-y,-z'
'-y+1/2,x,z'
'y+1/2,-x,-z'
'-x+1/2,-y+1/2,z'
'x+1/2,y+1/2,-z'
'y,-x+1/2,z'
'-y,x+1/2,-z'
'x+1/2,-y,-z'
'-x+1/2,y,z'
'-y,-x,-z'
'y,x,z'
'-x,y+1/2,-z'
'x,-y+1/2,z'
'y+1/2,x+1/2,-z'
'-y+1/2,-x+1/2,z'
loop_
_atom_site_label
_atom_site_fract_x
_atom_site_fract_y
_atom_site_fract_z
Rb1 0.250 0.250 0.230
P1 0.250 0.250 0.602
Ir1 0.250 0.750 0.500
Au1 0.250 0.750 0.000



Entry 4:
# AlAg2Te, optimized geometry, DFT PBE
# ΔE to the lowest computed polymorph in meV/atom: 163
# Raw total energy in eV per cell: -47.04
# Formation energy (no corrections) in eV per atom: 0.207
# V in Å³/atom: 21.9
data_AlAg2Te
_chemical_formula_sum 'Al4 Ag8 Te4'
_cell_length_a 7.045
_cell_length_b 7.045
_cell_length_c 7.045
_cell_angle_alpha 90.00
_cell_angle_beta 90.00
_cell_angle_gamma 90.00
_space_group_name_H-M_alt 'F m -3 m'
_space_group_IT_number 225
_space_group_name_Hall '-F 4 2 3'
loop_
_atom_site_label
_atom_site_fract_x
_atom_site_fract_y
_atom_site_fract_z
Al1 0.000 0.000 0.000
Ag1 0.250 0.250 0.250
Te1 0.000 0.000 0.500



Entry 5:
# RbTiCu2Cl8, optimized geometry, DFT PBE
# Raw total energy in eV per cell: -46.03
# Formation energy (no corrections) in eV per atom: -1.183
# V in Å³/atom: 28.6
data_RbTiCu2Cl8
_chemical_formula_sum 'Rb1 Ti1 Cu2 Cl8'
_cell_length_a 6.168
_cell_length_b 6.948
_cell_length_c 8.438
_cell_angle_alpha 73.81
_cell_angle_beta 81.77
_cell_angle_gamma 86.67
_space_group_name_H-M_alt 'P -1'
_space_group_IT_number 2
loop_
_space_group_symop_operation_xyz
'x,y,z'
'-x,-y,-z'
loop_
_atom_site_label
_atom_site_fract_x
_atom_site_fract_y
_atom_site_fract_z
Rb1 0.000 0.000 0.000
Ti1 0.000 0.500 0.500
Cu1 0.485 0.521 0.817
Cl1 0.113 0.498 0.763
Cl2 0.161 0.805 0.377
Cl3 0.333 0.324 0.433
Cl4 0.492 0.247 0.034



Entry 6:
# SrCeIn5, optimized geometry, DFT PBE
# Raw total energy in eV per cell: -22.21
# V in Å³/atom: 30.6
# ΔH_f (0 K) in eV per atom: -0.129
data_SrCeIn5
_chemical_formula_sum 'Sr1 Ce1 In5'
_cell_length_a 5.361
_cell_length_b 5.361
_cell_length_c 7.451
_cell_angle_alpha 90.00
_cell_angle_beta 90.00
_cell_angle_gamma 90.00
_space_group_name_H-M_alt 'P 4/m m m'
_space_group_IT_number 123
_space_group_name_Hall '-P 4 2'
loop_
_atom_site_label
_atom_site_fract_x
_atom_site_fract_y
_atom_site_fract_z
Sr1 0.000 0.000 0.000
Ce1 0.500 0.500 0.500
In1 0.000 0.500 0.270
In2 0.500 0.500 0.000



Entry 7:
# Hf2MgZn, optimized geometry, DFT PBE
# ΔE to the lowest computed polymorph in meV/atom: 27
# Raw total energy in eV per cell: -90.34
# V in Å³/atom: 19.4
# ΔH_f (0 K) in eV per atom: 0.048
data_Hf2MgZn
_chemical_formula_sum 'Hf8 Mg4 Zn4'
_cell_length_a 6.773
_cell_length_b 6.773
_cell_length_c 6.773
_cell_angle_alpha 90.00
_cell_angle_beta 90.00
_cell_angle_gamma 90.00
_space_group_name_H-M_alt 'F m -3 m'
_space_group_IT_number 225
_space_group_name_Hall '-F 4 2 3'
loop_
_atom_site_label
_atom_site_fract_x
_atom_site_fract_y
_atom_site_fract_z
Hf1 0.250 0.250 0.250
Mg1 0.000 0.000 0.000
Zn1 0.000 0.000 0.500



Entry 8:
# Y3AsC, optimized geometry, DFT PBE
# Raw total energy in eV per cell: -294.11
# V in Å³/atom: 22.9
# ΔH_f (0 K) in eV per atom: -0.700
data_Y3AsC
_chemical_formula_sum 'Y24 As8 C8'
_cell_length_a 11.481
_cell_length_b 12.838
_cell_length_c 6.272
_cell_angle_alpha 90.00
_cell_angle_beta 97.58
_cell_angle_gamma 90.00
_space_group_name_H-M_alt 'C 1 2/c 1'
_space_group_IT_number 15
loop_
_space_group_symop_operation_xyz
'x,y,z'
'-x,-y,-z'
'-x,y,-z+1/2'
'x,-y,z+1/2'
'x+1/2,y+1/2,z'
'-x+1/2,-y+1/2,-z'
'-x+1/2,y+1/2,-z+1/2'
'x+1/2,-y+1/2,z+1/2'
loop_
_atom_site_label
_atom_site_fract_x
_atom_site_fract_y
_atom_site_fract_z
Y1 0.097 0.136 0.076
Y2 0.121 0.427 0.111
Y3 0.122 0.298 0.602
As1 0.178 0.081 0.527
C1 0.000 0.283 0.250
C2 0.000 0.432 0.750



Entry 9:
# NaLaSn2Br8, optimized geometry, DFT PBE
# Raw total energy in eV per cell: -43.09
# Formation energy (no corrections) in eV per atom: -1.288
# V in Å³/atom: 36.8
data_NaLaSn2Br8
_chemical_formula_sum 'Na1 La1 Sn2 Br8'
_cell_length_a 6.865
_cell_length_b 8.916
_cell_length_c 7.214
_cell_angle_alpha 90.00
_cell_angle_beta 91.19
_cell_angle_gamma 90.00
_space_group_name_H-M_alt 'P 1 2/m 1'
_space_group_IT_number 10
loop_
_space_group_symop_operation_xyz
'x,y,z'
'-x,-y,-z'
'-x,y,-z'
'x,-y,z'
loop_
_atom_site_label
_atom_site_fract_x
_atom_site_fract_y
_atom_site_fract_z
Na1 0.000 0.000 0.000
La1 0.000 0.500 0.000
Sn1 0.500 0.240 0.500
Br1 0.237 0.252 0.158
Br2 0.249 0.500 0.670
Br3 0.271 0.000 0.655



Entry 10:
# Tb2Al4Cu3Pd, optimized geometry, DFT PBE
# Raw total energy in eV per cell: -46.94
# V in Å³/atom: 17.8
# ΔH_f (0 K) in eV per atom: -0.523
data_Tb2Al4Cu3Pd
_chemical_formula_sum 'Tb2 Al4 Cu3 Pd1'
_cell_length_a 4.153
_cell_length_b 4.153
_cell_length_c 10.314
_cell_angle_alpha 90.00
_cell_angle_beta 90.00
_cell_angle_gamma 90.00
_space_group_name_H-M_alt 'P -4 m 2'
_space_group_IT_number 115
loop_
_space_group_symop_operation_xyz
'x,y,z'
'y,-x,-z'
'-x,-y,z'
'-y,x,-z'
'-x,y,z'
'-y,-x,-z'
'x,-y,z'
'y,x,-z'
loop_
_atom_site_label
_atom_site_fract_x
_atom_site_fract_y
_atom_site_fract_z
Tb1 0.000 0.500 0.248
Al1 0.000 0.000 0.000
Al2 0.000 0.500 0.632
Al3 0.500 0.500 0.000
Cu1 0.000 0.500 0.866
Cu2 0.500 0.500 0.500
Pd1 0.000 0.000 0.500



Entry 11:
# NdSmTi4O12, optimized geometry, DFT PBE
# Raw total energy in eV per cell: -303.50
# Formation energy (no corrections) in eV per atom: -2.844
# V in Å³/atom: 12.8
data_NdSmTi4O12
_chemical_formula_sum 'Nd2 Sm2 Ti8 O24'
_cell_length_a 7.716
_cell_length_b 7.699
_cell_length_c 7.751
_cell_angle_alpha 90.00
_cell_angle_beta 90.00
_cell_angle_gamma 90.00
_space_group_name_H-M_alt 'A m m 2'
_space_group_IT_number 38
loop_
_space_group_symop_operation_xyz
'x,y,z'
'-x,-y,z'
'-x,y,z'
'x,-y,z'
'x,y+1/2,z+1/2'
'-x,-y+1/2,z+1/2'
'-x,y+1/2,z+1/2'
'x,-y+1/2,z+1/2'
loop_
_atom_site_label
_atom_site_fract_x
_atom_site_fract_y
_atom_site_fract_z
Nd1 0.000 0.000 0.000
Sm1 0.500 0.000 0.549
Ti1 0.251 0.240 0.274
O1 0.000 0.218 0.789
O2 0.205 0.000 0.231
O3 0.262 0.219 0.525
O4 0.282 0.000 0.789
O5 0.500 0.206 0.284



Entry 12:
# La2ErSi2, optimized geometry, DFT PBE
# ΔE to the lowest computed polymorph in meV/atom: 0
# Raw total energy in eV per cell: -57.44
# Formation energy (no corrections) in eV per atom: -0.691
# V in Å³/atom: 26.5
data_La2ErSi2
_chemical_formula_sum 'La4 Er2 Si4'
_cell_length_a 7.652
_cell_length_b 7.652
_cell_length_c 4.522
_cell_angle_alpha 90.00
_cell_angle_beta 90.00
_cell_angle_gamma 90.00
_space_group_name_H-M_alt 'P 4/m b m'
_space_group_IT_number 127
_space_group_name_Hall '-P 4 2ab'
loop_
_atom_site_label
_atom_site_fract_x
_atom_site_fract_y
_atom_site_fract_z
La1 0.178 0.322 0.000
Er1 0.000 0.000 0.500
Si1 0.114 0.614 0.500



Question: Among the records above, which one has the highest V?
Answer: Ca3LaSb



Question: Look up the raw total energy of the ninth one.
Answer: -43.09 eV per cell



Question: What is the raw total energy in the twelfth record?
Answer: -57.44 eV per cell